A relaxed LaHgPb3 crystal, computed with PBE-GGA.

It has space group Pm-3m (No. 221), with a = 5.6776 Å, b = 5.6776 Å, c = 5.6776 Å, α = 90.00°, β = 90.00° and γ = 90.00°. The asymmetric unit holds La at (0.0000, 0.0000, 0.0000), Hg at (0.5000, 0.5000, 0.5000) and Pb at (0.0000, 0.5000, 0.5000).

The value obtained for the formation energy is 0.186 eV/atom. As for the distance to the lowest polymorph of the same formula: 0.320 eV/atom. The value obtained for the total energy is -15.42 eV per cell. As for the density of states at the Fermi level: 0.763 states/eV per atom. The crystal system is cubic. The value obtained for the density is 8.720 Mg/m³.